No. 1
# IrRhC3 (PBE, relaxed)
# **Calculated formation energy**: 2.158 eV/atom
# **Offset from the most stable computed form**: 0.0 meV per atom
data_IrRhC3
_space_group_name_H-M_alt 'P 1'
_space_group_IT_number 1
_space_group_name_Hall 'P 1'
_cell_length_a 3.9464
_cell_length_b 3.9464
_cell_length_c 3.9464
_cell_angle_alpha 90.00
_cell_angle_beta 90.00
_cell_angle_gamma 90.00
loop_
_atom_site_label
_atom_site_type_symbol
_atom_site_fract_x
_atom_site_fract_y
_atom_site_fract_z
C1 C 0.0000 0.5000 0.0000
C2 C 0.0000 0.0000 0.5000
C3 C 0.5000 0.0000 0.0000
Ir1 Ir 0.0000 0.0000 0.0000
Rh1 Rh 0.5000 0.5000 0.5000

***

No. 2
# IrRh4C2 (PBE, relaxed)
# **Calculated formation energy**: 1.296 eV/atom
data_IrRh4C2
_space_group_name_H-M_alt 'P 1'
_space_group_IT_number 1
_space_group_name_Hall 'P 1'
_cell_length_a 4.7357
_cell_length_b 4.7357
_cell_length_c 6.0877
_cell_angle_alpha 67.11
_cell_angle_beta 67.11
_cell_angle_gamma 90.00
loop_
_atom_site_label
_atom_site_type_symbol
_atom_site_fract_x
_atom_site_fract_y
_atom_site_fract_z
C1 C 0.5656 0.5656 0.8689
C2 C 0.4344 0.4344 0.1311
Ir1 Ir 0.0000 0.0000 0.0000
Rh1 Rh 0.7485 0.7485 0.5031
Rh2 Rh 0.2515 0.2515 0.4969
Rh3 Rh 0.0000 0.5000 0.0000
Rh4 Rh 0.5000 0.0000 0.0000

***

No. 3
# IrRhC2 (PBE, relaxed)
# **Calculated formation energy**: 1.551 eV/atom
# **Offset from the most stable computed form**: 1022.1 meV per atom
data_IrRhC2
_space_group_name_H-M_alt 'P 1'
_space_group_IT_number 1
_space_group_name_Hall 'P 1'
_cell_length_a 3.8419
_cell_length_b 3.8419
_cell_length_c 3.8419
_cell_angle_alpha 60.00
_cell_angle_beta 60.00
_cell_angle_gamma 60.00
loop_
_atom_site_label
_atom_site_type_symbol
_atom_site_fract_x
_atom_site_fract_y
_atom_site_fract_z
C1 C 0.2500 0.2500 0.2500
C2 C 0.7500 0.7500 0.7500
Ir1 Ir 0.5000 0.5000 0.5000
Rh1 Rh 0.0000 0.0000 0.0000

***

No. 4
# IrRhC2S (PBE, relaxed)
# **Formation energy without anion corrections**: 1.89 eV/atom
data_IrRhC2S
_space_group_name_H-M_alt 'P 1'
_space_group_IT_number 1
_space_group_name_Hall 'P 1'
_cell_length_a 3.8107
_cell_length_b 4.9918
_cell_length_c 3.8107
_cell_angle_alpha 90.00
_cell_angle_beta 90.00
_cell_angle_gamma 90.00
loop_
_atom_site_label
_atom_site_type_symbol
_atom_site_fract_x
_atom_site_fract_y
_atom_site_fract_z
S1 S 0.0000 0.5000 0.0000
Ir1 Ir 0.5000 0.5000 0.5000
Rh1 Rh 0.0000 0.0000 0.0000
C1 C 0.0000 0.0000 0.5000
C2 C 0.5000 0.0000 0.0000

***

No. 5
# TaIrRh2C (PBE, relaxed)
# **Calculated formation energy**: 1.390 eV/atom
data_TaIrRh2C
_space_group_name_H-M_alt 'P 1'
_space_group_IT_number 1
_space_group_name_Hall 'P 1'
_cell_length_a 4.8893
_cell_length_b 3.6682
_cell_length_c 4.8893
_cell_angle_alpha 90.00
_cell_angle_beta 90.00
_cell_angle_gamma 90.00
loop_
_atom_site_label
_atom_site_type_symbol
_atom_site_fract_x
_atom_site_fract_y
_atom_site_fract_z
C1 C 0.0000 0.5000 0.0000
Ir1 Ir 0.0000 0.0000 0.0000
Rh1 Rh 0.0000 0.0000 0.5000
Rh2 Rh 0.5000 0.0000 0.0000
Ta1 Ta 0.5000 0.5000 0.5000

***

No. 6
# Ti2IrRhC (PBE, relaxed)
# **Calculated formation energy**: 1.751 eV/atom
data_Ti2IrRhC
_space_group_name_H-M_alt 'P 1'
_space_group_IT_number 1
_space_group_name_Hall 'P 1'
_cell_length_a 4.6554
_cell_length_b 4.7569
_cell_length_c 4.6554
_cell_angle_alpha 90.00
_cell_angle_beta 90.00
_cell_angle_gamma 90.00
loop_
_atom_site_label
_atom_site_type_symbol
_atom_site_fract_x
_atom_site_fract_y
_atom_site_fract_z
C1 C 0.5000 0.5000 0.5000
Ir1 Ir 0.0000 0.0000 0.0000
Rh1 Rh 0.0000 0.5000 0.0000
Ti1 Ti 0.0000 0.0000 0.5000
Ti2 Ti 0.5000 0.0000 0.0000

***

No. 7
# TlIrRhC2 (PBE, relaxed)
# **Calculated formation energy**: 1.901 eV/atom
data_TlIrRhC2
_space_group_name_H-M_alt 'P 1'
_space_group_IT_number 1
_space_group_name_Hall 'P 1'
_cell_length_a 3.8765
_cell_length_b 5.8537
_cell_length_c 3.8765
_cell_angle_alpha 90.00
_cell_angle_beta 90.00
_cell_angle_gamma 90.00
loop_
_atom_site_label
_atom_site_type_symbol
_atom_site_fract_x
_atom_site_fract_y
_atom_site_fract_z
Tl1 Tl 0.0000 0.5000 0.0000
Ir1 Ir 0.5000 0.5000 0.5000
Rh1 Rh 0.0000 0.0000 0.0000
C1 C 0.0000 0.0000 0.5000
C2 C 0.5000 0.0000 0.0000

***

No. 8
# Ir2RhWC (PBE, relaxed)
# **Calculated formation energy**: 2.823 eV/atom
data_Ir2RhWC
_space_group_name_H-M_alt 'P 1'
_space_group_IT_number 1
_space_group_name_Hall 'P 1'
_cell_length_a 4.7387
_cell_length_b 4.6948
_cell_length_c 4.7387
_cell_angle_alpha 90.00
_cell_angle_beta 90.00
_cell_angle_gamma 90.00
loop_
_atom_site_label
_atom_site_type_symbol
_atom_site_fract_x
_atom_site_fract_y
_atom_site_fract_z
C1 C 0.5000 0.5000 0.5000
Ir1 Ir 0.0000 0.0000 0.5000
Ir2 Ir 0.5000 0.0000 0.0000
Rh1 Rh 0.0000 0.5000 0.0000
W1 W 0.0000 0.0000 0.0000

***

No. 9
# YIr2RhC (PBE, relaxed)
# **Calculated formation energy**: -0.332 eV/atom
data_YIr2RhC
_space_group_name_H-M_alt 'P 1'
_space_group_IT_number 1
_space_group_name_Hall 'P 1'
_cell_length_a 4.1382
_cell_length_b 4.1382
_cell_length_c 4.3636
_cell_angle_alpha 90.00
_cell_angle_beta 90.00
_cell_angle_gamma 90.00
loop_
_atom_site_label
_atom_site_type_symbol
_atom_site_fract_x
_atom_site_fract_y
_atom_site_fract_z
Y1 Y 0.5000 0.5000 0.5000
C1 C 0.0000 0.0000 0.0000
Ir1 Ir 0.0000 0.5000 0.0000
Ir2 Ir 0.5000 0.0000 0.0000
Rh1 Rh 0.0000 0.0000 0.5000

***

No. 10
# Y2IrRhC (PBE, relaxed)
# **Calculated formation energy**: -0.546 eV/atom
data_Y2IrRhC
_space_group_name_H-M_alt 'P 1'
_space_group_IT_number 1
_space_group_name_Hall 'P 1'
_cell_length_a 4.9733
_cell_length_b 4.9733
_cell_length_c 3.8105
_cell_angle_alpha 90.00
_cell_angle_beta 90.00
_cell_angle_gamma 90.00
loop_
_atom_site_label
_atom_site_type_symbol
_atom_site_fract_x
_atom_site_fract_y
_atom_site_fract_z
Y1 Y 0.0000 0.5000 0.0000
Y2 Y 0.5000 0.0000 0.0000
C1 C 0.0000 0.0000 0.0000
Ir1 Ir 0.0000 0.0000 0.5000
Rh1 Rh 0.5000 0.5000 0.5000

***

No. 11
# YIrRh2C (PBE, relaxed)
# **Calculated formation energy**: -0.421 eV/atom
data_YIrRh2C
_space_group_name_H-M_alt 'P 1'
_space_group_IT_number 1
_space_group_name_Hall 'P 1'
_cell_length_a 4.2503
_cell_length_b 4.2503
_cell_length_c 4.1038
_cell_angle_alpha 90.00
_cell_angle_beta 90.00
_cell_angle_gamma 90.00
loop_
_atom_site_label
_atom_site_type_symbol
_atom_site_fract_x
_atom_site_fract_y
_atom_site_fract_z
Y1 Y 0.5000 0.5000 0.5000
C1 C 0.0000 0.0000 0.0000
Ir1 Ir 0.0000 0.0000 0.5000
Rh1 Rh 0.0000 0.5000 0.0000
Rh2 Rh 0.5000 0.0000 0.0000

***

No. 12
# IrRuC2 (PBE, relaxed)
# **Calculated formation energy**: 0.531 eV/atom
# **Offset from the most stable computed form**: 0.0 meV per atom
data_IrRuC2
_space_group_name_H-M_alt 'P 1'
_space_group_IT_number 1
_space_group_name_Hall 'P 1'
_cell_length_a 4.4983
_cell_length_b 4.4983
_cell_length_c 5.7677
_cell_angle_alpha 67.05
_cell_angle_beta 67.05
_cell_angle_gamma 90.00
loop_
_atom_site_label
_atom_site_type_symbol
_atom_site_fract_x
_atom_site_fract_y
_atom_site_fract_z
Ru1 Ru 0.5000 0.5000 0.0000
Ru2 Ru 0.2500 0.7500 0.5000
C1 C 0.6233 0.1250 0.2500
C2 C 0.1267 0.6250 0.2500
C3 C 0.3750 0.3767 0.7500
C4 C 0.8750 0.8733 0.7500
Ir1 Ir 0.0000 0.0000 0.0000
Ir2 Ir 0.7500 0.2500 0.5000

***

No. 13
# Ir3RuC (PBE, relaxed)
# **Calculated formation energy**: 3.165 eV/atom
# **Offset from the most stable computed form**: 2501.8 meV per atom
data_Ir3RuC
_space_group_name_H-M_alt 'P 1'
_space_group_IT_number 1
_space_group_name_Hall 'P 1'
_cell_length_a 4.6738
_cell_length_b 4.6738
_cell_length_c 4.6738
_cell_angle_alpha 90.00
_cell_angle_beta 90.00
_cell_angle_gamma 90.00
loop_
_atom_site_label
_atom_site_type_symbol
_atom_site_fract_x
_atom_site_fract_y
_atom_site_fract_z
Ru1 Ru 0.0000 0.0000 0.0000
C1 C 0.5000 0.5000 0.5000
Ir1 Ir 0.0000 0.5000 0.0000
Ir2 Ir 0.0000 0.0000 0.5000
Ir3 Ir 0.5000 0.0000 0.0000

***

No. 14
# Ir2RuC (PBE, relaxed)
# **Calculated formation energy**: 0.843 eV/atom
data_Ir2RuC
_space_group_name_H-M_alt 'P 1'
_space_group_IT_number 1
_space_group_name_Hall 'P 1'
_cell_length_a 5.1806
_cell_length_b 5.1806
_cell_length_c 6.0276
_cell_angle_alpha 64.55
_cell_angle_beta 64.55
_cell_angle_gamma 90.00
loop_
_atom_site_label
_atom_site_type_symbol
_atom_site_fract_x
_atom_site_fract_y
_atom_site_fract_z
Ru1 Ru 0.0000 0.0000 0.0000
Ru2 Ru 0.7500 0.2500 0.5000
C1 C 0.5000 0.5000 0.0000
C2 C 0.2500 0.7500 0.5000
Ir1 Ir 0.5517 0.1250 0.2500
Ir2 Ir 0.1983 0.6250 0.2500
Ir3 Ir 0.3750 0.4483 0.7500
Ir4 Ir 0.8750 0.8017 0.7500

***

No. 15
# IrRu3C (PBE, relaxed)
# **Calculated formation energy**: 3.052 eV/atom
# **Offset from the most stable computed form**: 2683.1 meV per atom
data_IrRu3C
_space_group_name_H-M_alt 'P 1'
_space_group_IT_number 1
_space_group_name_Hall 'P 1'
_cell_length_a 4.6824
_cell_length_b 4.6824
_cell_length_c 4.6824
_cell_angle_alpha 90.00
_cell_angle_beta 90.00
_cell_angle_gamma 90.00
loop_
_atom_site_label
_atom_site_type_symbol
_atom_site_fract_x
_atom_site_fract_y
_atom_site_fract_z
Ru1 Ru 0.0000 0.5000 0.0000
Ru2 Ru 0.0000 0.0000 0.5000
Ru3 Ru 0.5000 0.0000 0.0000
C1 C 0.5000 0.5000 0.5000
Ir1 Ir 0.0000 0.0000 0.0000

***

No. 16
# IrRuC2 (PBE, relaxed)
# **Calculated formation energy**: 1.402 eV/atom
# **Offset from the most stable computed form**: 871.9 meV per atom
data_IrRuC2
_space_group_name_H-M_alt 'P 1'
_space_group_IT_number 1
_space_group_name_Hall 'P 1'
_cell_length_a 3.8169
_cell_length_b 3.8169
_cell_length_c 3.8169
_cell_angle_alpha 60.00
_cell_angle_beta 60.00
_cell_angle_gamma 60.00
loop_
_atom_site_label
_atom_site_type_symbol
_atom_site_fract_x
_atom_site_fract_y
_atom_site_fract_z
Ru1 Ru 0.0000 0.0000 0.0000
C1 C 0.2500 0.2500 0.2500
C2 C 0.7500 0.7500 0.7500
Ir1 Ir 0.5000 0.5000 0.5000

***

No. 17
# IrRu3C (PBE, relaxed)
# **Calculated formation energy**: 0.369 eV/atom
# **Offset from the most stable computed form**: 0.0 meV per atom
data_IrRu3C
_space_group_name_H-M_alt 'P 1'
_space_group_IT_number 1
_space_group_name_Hall 'P 1'
_cell_length_a 4.0172
_cell_length_b 4.0172
_cell_length_c 4.0172
_cell_angle_alpha 90.00
_cell_angle_beta 90.00
_cell_angle_gamma 90.00
loop_
_atom_site_label
_atom_site_type_symbol
_atom_site_fract_x
_atom_site_fract_y
_atom_site_fract_z
Ru1 Ru 0.0000 0.5000 0.0000
Ru2 Ru 0.0000 0.0000 0.5000
Ru3 Ru 0.5000 0.0000 0.0000
C1 C 0.0000 0.0000 0.0000
Ir1 Ir 0.5000 0.5000 0.5000

***

No. 18
# Ir3RuC (PBE, relaxed)
# **Calculated formation energy**: 0.663 eV/atom
# **Offset from the most stable computed form**: 0.0 meV per atom
data_Ir3RuC
_space_group_name_H-M_alt 'P 1'
_space_group_IT_number 1
_space_group_name_Hall 'P 1'
_cell_length_a 4.0695
_cell_length_b 4.0695
_cell_length_c 4.0695
_cell_angle_alpha 90.00
_cell_angle_beta 90.00
_cell_angle_gamma 90.00
loop_
_atom_site_label
_atom_site_type_symbol
_atom_site_fract_x
_atom_site_fract_y
_atom_site_fract_z
Ru1 Ru 0.5000 0.5000 0.5000
C1 C 0.0000 0.0000 0.0000
Ir1 Ir 0.0000 0.5000 0.0000
Ir2 Ir 0.0000 0.0000 0.5000
Ir3 Ir 0.5000 0.0000 0.0000

***

No. 19
# ScIrRu2C (PBE, relaxed)
# **Calculated formation energy**: -0.340 eV/atom
data_ScIrRu2C
_space_group_name_H-M_alt 'P 1'
_space_group_IT_number 1
_space_group_name_Hall 'P 1'
_cell_length_a 4.1104
_cell_length_b 4.1104
_cell_length_c 4.0626
_cell_angle_alpha 90.00
_cell_angle_beta 90.00
_cell_angle_gamma 90.00
loop_
_atom_site_label
_atom_site_type_symbol
_atom_site_fract_x
_atom_site_fract_y
_atom_site_fract_z
Sc1 Sc 0.5000 0.5000 0.5000
Ru1 Ru 0.0000 0.5000 0.0000
Ru2 Ru 0.5000 0.0000 0.0000
C1 C 0.0000 0.0000 0.0000
Ir1 Ir 0.0000 0.0000 0.5000

***

No. 20
# Sc2IrRuC (PBE, relaxed)
# **Calculated formation energy**: -0.491 eV/atom
data_Sc2IrRuC
_space_group_name_H-M_alt 'P 1'
_space_group_IT_number 1
_space_group_name_Hall 'P 1'
_cell_length_a 4.5134
_cell_length_b 4.5134
_cell_length_c 3.8106
_cell_angle_alpha 90.00
_cell_angle_beta 90.00
_cell_angle_gamma 90.00
loop_
_atom_site_label
_atom_site_type_symbol
_atom_site_fract_x
_atom_site_fract_y
_atom_site_fract_z
Sc1 Sc 0.0000 0.5000 0.0000
Sc2 Sc 0.5000 0.0000 0.0000
Ru1 Ru 0.0000 0.0000 0.5000
C1 C 0.0000 0.0000 0.0000
Ir1 Ir 0.5000 0.5000 0.5000